Record 1
# Ca2UAs3Pt4

A geometry-optimized Ca2UAs3Pt4 structure (PBE, Alexandria).

a = 4.254 Å, b = 4.254 Å, c = 11.526 Å
α = 90.00°, β = 90.00°, γ = 90.00°
Site moments in Bohr magnetons follow the coordinates.
Positions (direct):
Ca 0.500 0.000 0.220  0.01
Ca 0.000 0.500 0.780  0.01
U 0.500 0.500 0.500  2.25
As 0.000 0.000 0.500  -0.03
As 0.500 0.000 0.875  0.01
As 0.000 0.500 0.125  0.01
Pt 0.500 0.500 0.000  0.00
Pt 0.000 0.000 0.000  -0.02
Pt 0.500 0.000 0.662  0.00
Pt 0.000 0.500 0.338  0.00

Summary:
* energy relative to the elements: -0.705 eV/atom



Record 2
# CsZrTl3

A geometry-optimized CsZrTl3 structure (PBE, Alexandria).

a = 6.239 Å, b = 6.239 Å, c = 6.239 Å
α = 90.00°, β = 90.00°, γ = 90.00°
Site moments in Bohr magnetons follow the coordinates.
Positions (direct):
Cs 0.000 0.000 0.000  -0.01
Tl 0.000 0.500 0.000  0.00
Tl 0.000 0.000 0.500  0.01
Tl 0.500 0.000 0.000  -0.03
Zr 0.500 0.500 0.500  1.49

Summary:
* energy relative to the elements: 1.467 eV/atom



Record 3
# CsP2OsS8

A geometry-optimized CsP2OsS8 structure (PBE, Alexandria).

a = 5.916 Å, b = 5.916 Å, c = 10.259 Å
α = 90.00°, β = 90.00°, γ = 120.00°
Positions (direct):
Cs 0.000 0.000 0.000
P 0.667 0.333 0.313
P 0.333 0.667 0.687
Os 0.000 0.000 0.500
S 0.333 0.667 0.881
S 0.328 0.338 0.373
S 0.662 0.989 0.373
S 0.667 0.333 0.119
S 0.338 0.011 0.627
S 0.672 0.662 0.627
S 0.989 0.328 0.627
S 0.011 0.672 0.373

Summary:
* E_form (uncorrected): -0.281 eV per atom



Record 4
# CaBeP2

A geometry-optimized CaBeP2 structure (PBE, Alexandria).

a = 5.739 Å, b = 5.739 Å, c = 5.739 Å
α = 39.78°, β = 39.78°, γ = 39.78°
Positions (direct):
P 0.957 0.957 0.957
P 0.209 0.209 0.209
Ca 0.764 0.764 0.764
Be 0.570 0.570 0.570

Summary:
* energy relative to the elements: -0.188 eV/atom



Record 5
# LaTl2Zn

A geometry-optimized LaTl2Zn structure (PBE, Alexandria).

a = 4.748 Å, b = 4.748 Å, c = 6.220 Å
α = 67.57°, β = 67.57°, γ = 59.84°
Positions (direct):
La 0.250 0.250 0.250
Tl 0.024 0.024 0.928
Tl 0.476 0.476 0.572
Zn 0.750 0.750 0.750

Summary:
* energy relative to the elements: -0.222 eV/atom



Record 6
# Cd2BiF

A geometry-optimized Cd2BiF structure (PBE, Alexandria).

a = 5.008 Å, b = 5.008 Å, c = 5.008 Å
α = 60.00°, β = 60.00°, γ = 60.00°
Positions (direct):
F 0.000 0.000 0.000
Bi 0.500 0.500 0.500
Cd 0.250 0.250 0.250
Cd 0.750 0.750 0.750

Summary:
* E_form (uncorrected): -0.544 eV per atom



Record 7
# La4FeSeCl2

A geometry-optimized La4FeSeCl2 structure (PBE, Alexandria).

a = 4.095 Å, b = 7.442 Å, c = 7.588 Å
α = 73.14°, β = 90.00°, γ = 90.00°
Positions (direct):
La 0.000 0.723 0.730
La 0.000 0.277 0.270
La 0.500 0.714 0.286
La 0.500 0.286 0.714
Fe 0.000 0.500 0.500
Se 0.500 0.500 0.000
Cl 0.000 0.000 0.000
Cl 0.500 0.000 0.500

Summary:
* E_form (uncorrected): -1.251 eV per atom



Record 8
# Tb4Pm2Dy2Ho

A geometry-optimized Tb4Pm2Dy2Ho structure (PBE, Alexandria).

a = 3.605 Å, b = 9.520 Å, c = 9.576 Å
α = 115.18°, β = 90.00°, γ = 100.91°
Positions (direct):
Tb 0.814 0.629 0.665
Tb 0.186 0.371 0.335
Tb 0.519 0.038 0.334
Tb 0.481 0.962 0.666
Pm 0.334 0.669 0.001
Pm 0.666 0.331 0.999
Dy 0.853 0.705 0.336
Dy 0.147 0.295 0.664
Ho 0.000 0.000 0.000

Summary:
* energy relative to the elements: -0.001 eV/atom